Here is a relaxed Mn2IO6 crystal from Alexandria via LeMat-Bulk. Energies are from PBE+U.

The calculation puts the total moment at 1.00 μB per atom. The calculation puts the uncorrected energy at -6.10 eV per atom.

It has space group Pnnm (No. 58), with a = 5.032 Å, b = 5.257 Å, c = 8.663 Å, α = 90.00°, β = 90.00° and γ = 90.00°. The inequivalent atoms are Mn at (0.000, 0.000, 0.195), I at (0.000, 0.500, 0.000), O at (0.202, 0.199, 0.000) and O at (0.210, 0.661, 0.159).